This record from Alexandria describes KNiHg2 after structural relaxation. The functional is PBE-GGA.

Cell and atoms, written as extended XYZ:
```
4
Lattice="-3.240 6.969 -2.574 -2.714 3.664 -6.701 0.555 -5.833 5.600" Properties=species:S:1:pos:R:3 pbc="T T T"
Hg -0.523 0.934 -0.815
Hg -2.816 3.201 -0.783
Ni -2.466 1.392 -2.711
K -2.570 4.590 -4.004
```

Crystal system: orthorhombic
ΔE_f, eV per formula unit: 0.2
Total magnetization, μB/cell: 0.00
Raw total energy, Ry/atom: -0.1333
V, Å³ per atom: 26.16
Energy above the most stable polymorph in this dataset, meV per atom: 6
Fermi-level density of states, states/eV/cell: 1.64